1.
VASP calculation (GGA-PBE) on a relaxed structure of Tb5Zn4Hg.

Cell lengths 3.593, 3.593, 18.191 Å; angles 90.00, 90.00, 90.00 degrees
Site moments in Bohr magnetons follow the coordinates.
Element x y z (fractional)
Hg 0.000 0.000 0.000  0.01
Tb 0.500 0.500 0.111  0.09
Tb 0.500 0.500 0.305  0.06
Tb 0.500 0.500 0.500  0.04
Tb 0.500 0.500 0.695  0.06
Tb 0.500 0.500 0.889  0.09
Zn 0.000 0.000 0.208  0.01
Zn 0.000 0.000 0.402  0.01
Zn 0.000 0.000 0.598  0.01
Zn 0.000 0.000 0.792  0.01

Calculated values
Electronic total energy ... -32.21 eV/cell
Magnetization ... 0.57 μB/f.u.



2.
VASP calculation (GGA-PBE) on a relaxed structure of TmSbN2O.

Cell lengths 5.652, 3.869, 5.797 Å; angles 90.00, 90.00, 90.00 degrees
Element x y z (fractional)
N 0.250 0.000 0.174
N 0.000 0.500 0.500
N 0.500 0.500 0.500
N 0.750 0.000 0.826
O 0.000 0.500 0.000
O 0.500 0.500 0.000
Sb 0.250 0.500 0.265
Sb 0.750 0.500 0.735
Tm 0.750 0.000 0.211
Tm 0.250 0.000 0.789

Calculated values
Electronic total energy ... -66.93 eV/cell
Magnetization ... 0.00 μB/f.u.



3.
VASP calculation (GGA-PBE) on a relaxed structure of BaLuTe2AuS.

Cell lengths 7.767, 7.767, 10.705 Å; angles 90.00, 90.00, 147.39 degrees
Element x y z (fractional)
Au 0.522 0.478 0.250
Au 0.478 0.522 0.750
Ba 0.269 0.731 0.250
Ba 0.731 0.269 0.750
Lu 0.000 0.000 0.000
Lu 0.000 0.000 0.500
S 0.932 0.068 0.250
S 0.068 0.932 0.750
Te 0.641 0.359 0.050
Te 0.641 0.359 0.450
Te 0.359 0.641 0.550
Te 0.359 0.641 0.950

Calculated values
Electronic total energy ... -55.64 eV/cell
Magnetization ... 0.01 μB/f.u.



4.
VASP calculation (GGA-PBE) on a relaxed structure of PmBW.

Cell lengths 4.581, 4.581, 4.581 Å; angles 60.00, 60.00, 60.00 degrees
Site moments in Bohr magnetons follow the coordinates.
Element x y z (fractional)
B 0.250 0.250 0.250  -0.11
Pm 0.000 0.000 0.000  0.24
W 0.750 0.750 0.750  2.16

Calculated values
Distance to the lowest polymorph of the same formula ... 1587 meV/atom
Electronic total energy ... -17.40 eV/cell
Magnetization ... 2.67 μB/f.u.



5.
VASP calculation (GGA-PBE) on a relaxed structure of ErSiNi.

Cell lengths 6.738, 6.738, 3.728 Å; angles 90.00, 90.00, 120.00 degrees
Element x y z (fractional)
Er 0.585 0.000 0.000
Er 0.415 0.415 0.000
Er 0.000 0.585 0.000
Ni 0.000 0.000 0.000
Ni 0.667 0.333 0.500
Ni 0.333 0.667 0.500
Si 0.240 0.000 0.500
Si 0.000 0.240 0.500
Si 0.760 0.760 0.500

Calculated values
Electronic total energy ... -53.37 eV/cell
Magnetization ... 0.00 μB/f.u.



6.
VASP calculation (GGA-PBE) on a relaxed structure of Er2Tm3Lu2Ni2Te2.

Cell lengths 9.220, 9.220, 9.220 Å; angles 156.09, 67.19, 118.26 degrees
Element x y z (fractional)
Er 0.691 0.377 0.315
Er 0.062 0.377 0.685
Lu 0.717 0.582 0.135
Lu 0.448 0.582 0.865
Ni 0.306 0.069 0.237
Ni 0.833 0.069 0.763
Te 0.339 0.339 0.000
Te 0.733 0.233 0.500
Tm 0.001 0.001 0.000
Tm 0.083 0.729 0.354
Tm 0.376 0.729 0.646

Calculated values
Distance to the lowest polymorph of the same formula ... 9 meV/atom
Electronic total energy ... -56.43 eV/cell
Magnetization ... 0.01 μB/f.u.



7.
VASP calculation (GGA-PBE) on a relaxed structure of LaErO3.

Cell lengths 6.030, 5.835, 8.425 Å; angles 90.00, 90.00, 90.00 degrees
Element x y z (fractional)
Er 0.000 0.000 0.000
Er 0.500 0.500 0.000
Er 0.000 0.000 0.500
Er 0.500 0.500 0.500
La 0.549 0.017 0.250
La 0.049 0.483 0.250
La 0.951 0.517 0.750
La 0.451 0.983 0.750
O 0.303 0.195 0.069
O 0.803 0.305 0.069
O 0.443 0.629 0.250
O 0.943 0.871 0.250
O 0.303 0.195 0.431
O 0.803 0.305 0.431
O 0.197 0.695 0.569
O 0.697 0.805 0.569
O 0.057 0.129 0.750
O 0.557 0.371 0.750
O 0.197 0.695 0.931
O 0.697 0.805 0.931

Calculated values
Electronic total energy ... -167.80 eV/cell
Magnetization ... 0.00 μB/f.u.



8.
VASP calculation (GGA-PBE) on a relaxed structure of DyYMg3Ni2.

Cell lengths 3.644, 10.695, 10.695 Å; angles 21.38, 90.00, 90.00 degrees
Element x y z (fractional)
Dy 0.000 0.177 0.177
Mg 0.000 0.000 0.000
Mg 0.500 0.420 0.420
Mg 0.500 0.580 0.580
Ni 0.500 0.287 0.287
Ni 0.500 0.713 0.713
Y 0.000 0.824 0.824

Calculated values
Electronic total energy ... -28.85 eV/cell
Magnetization ... 0.01 μB/f.u.



9.
VASP calculation (GGA-PBE) on a relaxed structure of Zn3As2H8O12.

Cell lengths 5.347, 5.917, 7.589 Å; angles 92.38, 94.85, 91.12 degrees
Element x y z (fractional)
As 0.341 0.263 0.132
As 0.659 0.737 0.868
H 0.748 0.772 0.273
H 0.772 0.308 0.331
H 0.908 0.770 0.462
H 0.249 0.597 0.468
H 0.751 0.403 0.532
H 0.092 0.230 0.538
H 0.228 0.692 0.669
H 0.252 0.228 0.727
O 0.819 0.811 0.069
O 0.653 0.318 0.113
O 0.212 0.484 0.240
O 0.312 0.022 0.253
O 0.733 0.761 0.403
O 0.783 0.265 0.458
O 0.217 0.735 0.542
O 0.267 0.239 0.597
O 0.688 0.978 0.747
O 0.788 0.516 0.760
O 0.347 0.682 0.887
O 0.181 0.189 0.931
Zn 0.182 0.760 0.100
Zn 0.500 0.000 0.500
Zn 0.818 0.240 0.900

Calculated values
Electronic total energy ... -129.40 eV/cell



10.
VASP calculation (GGA-PBE) on a relaxed structure of RbNdCdTe3.

Cell lengths 8.938, 4.918, 18.803 Å; angles 90.00, 90.00, 90.00 degrees
Element x y z (fractional)
Cd 0.422 0.750 0.158
Cd 0.922 0.750 0.342
Cd 0.078 0.250 0.658
Cd 0.578 0.250 0.842
Nd 0.766 0.750 0.042
Nd 0.266 0.750 0.458
Nd 0.734 0.250 0.542
Nd 0.234 0.250 0.958
Rb 0.064 0.250 0.193
Rb 0.564 0.250 0.307
Rb 0.436 0.750 0.693
Rb 0.936 0.750 0.807
Te 0.132 0.750 0.053
Te 0.499 0.250 0.079
Te 0.766 0.750 0.209
Te 0.266 0.750 0.291
Te 0.999 0.250 0.421
Te 0.632 0.750 0.447
Te 0.368 0.250 0.553
Te 0.001 0.750 0.579
Te 0.734 0.250 0.709
Te 0.234 0.250 0.791
Te 0.501 0.750 0.921
Te 0.868 0.250 0.947

Calculated values
Electronic total energy ... -87.78 eV/cell
Magnetization ... 0.00 μB/f.u.



11.
VASP calculation (GGA-PBE) on a relaxed structure of LaPrAs4.

Cell lengths 4.205, 8.576, 8.576 Å; angles 27.97, 90.00, 90.00 degrees
Element x y z (fractional)
As 0.000 0.248 0.248
As 0.500 0.455 0.455
As 0.000 0.546 0.546
As 0.500 0.750 0.750
La 0.000 0.892 0.892
Pr 0.500 0.108 0.108

Calculated values
Electronic total energy ... -34.07 eV/cell
Magnetization ... 0.00 μB/f.u.



12.
VASP calculation (GGA-PBE) on a relaxed structure of Ho3Mg3In2Hg.

Cell lengths 7.466, 7.466, 4.616 Å; angles 90.00, 90.00, 120.00 degrees
Element x y z (fractional)
Hg 0.000 0.000 0.000
Ho 0.578 0.000 0.000
Ho 0.422 0.422 0.000
Ho 0.000 0.578 0.000
In 0.667 0.333 0.500
In 0.333 0.667 0.500
Mg 0.239 0.000 0.500
Mg 0.000 0.239 0.500
Mg 0.761 0.761 0.500

Calculated values
Electronic total energy ... -27.81 eV/cell
Magnetization ... 0.00 μB/f.u.



13.
VASP calculation (GGA-PBE) on a relaxed structure of MgCuGePt.

Cell lengths 4.429, 4.429, 4.429 Å; angles 60.00, 60.00, 60.00 degrees
Element x y z (fractional)
Cu 0.750 0.750 0.750
Ge 0.000 0.000 0.000
Mg 0.500 0.500 0.500
Pt 0.250 0.250 0.250

Calculated values
Distance to the lowest polymorph of the same formula ... 0 meV/atom
Electronic total energy ... -17.37 eV/cell
Magnetization ... 0.00 μB/f.u.



14.
VASP calculation (GGA-PBE) on a relaxed structure of UB4.

Cell lengths 7.013, 7.013, 3.945 Å; angles 90.00, 90.00, 90.00 degrees
Site moments in Bohr magnetons follow the coordinates.
Element x y z (fractional)
B 0.000 0.000 0.200  0.00
B 0.500 0.500 0.200  0.00
B 0.179 0.039 0.500  0.00
B 0.413 0.087 0.500  0.00
B 0.961 0.179 0.500  0.00
B 0.461 0.321 0.500  0.00
B 0.913 0.413 0.500  0.00
B 0.679 0.461 0.500  0.00
B 0.321 0.539 0.500  0.00
B 0.087 0.587 0.500  0.00
B 0.539 0.679 0.500  0.00
B 0.039 0.821 0.500  0.00
B 0.587 0.913 0.500  0.00
B 0.821 0.961 0.500  0.00
B 0.000 0.000 0.800  0.00
B 0.500 0.500 0.800  0.00
U 0.690 0.190 0.000  0.26
U 0.190 0.310 0.000  0.25
U 0.810 0.690 0.000  0.25
U 0.310 0.810 0.000  0.27

Calculated values
Electronic total energy ... -162.18 eV/cell
Magnetization ... 0.28 μB/f.u.



15.
VASP calculation (GGA-PBE) on a relaxed structure of SrAcAu.

Cell lengths 5.326, 5.326, 5.326 Å; angles 60.00, 60.00, 60.00 degrees
Element x y z (fractional)
Ac 0.000 0.000 0.000
Au 0.250 0.250 0.250
Sr 0.750 0.750 0.750

Calculated values
Distance to the lowest polymorph of the same formula ... 619 meV/atom
Electronic total energy ... -8.48 eV/cell
Magnetization ... 0.00 μB/f.u.



16.
VASP calculation (GGA-PBE) on a relaxed structure of Sc4Cu3Mo2N3.

Cell lengths 5.380, 5.380, 13.491 Å; angles 101.70, 101.70, 59.30 degrees
Element x y z (fractional)
Cu 0.182 0.409 0.248
Cu 0.006 0.994 0.250
Cu 0.591 0.818 0.252
Cu 0.409 0.182 0.748
Cu 0.994 0.006 0.750
Cu 0.818 0.591 0.752
Mo 0.549 0.375 0.132
Mo 0.625 0.451 0.368
Mo 0.375 0.549 0.632
Mo 0.451 0.625 0.868
N 0.500 0.000 0.000
N 0.824 0.339 0.001
N 0.661 0.176 0.499
N 0.000 0.500 0.500
N 0.339 0.824 0.501
N 0.176 0.661 0.999
Sc 0.206 0.016 0.087
Sc 0.857 0.694 0.087
Sc 0.306 0.143 0.413
Sc 0.984 0.794 0.413
Sc 0.016 0.206 0.587
Sc 0.694 0.857 0.587
Sc 0.143 0.306 0.913
Sc 0.794 0.984 0.913

Calculated values
Electronic total energy ... -178.52 eV/cell
Magnetization ... 0.00 μB/f.u.



17.
VASP calculation (GGA-PBE) on a relaxed structure of NaYPdSe3.

Cell lengths 10.212, 4.038, 14.237 Å; angles 90.00, 90.00, 90.00 degrees
Element x y z (fractional)
Na 0.725 0.750 0.013
Na 0.225 0.750 0.487
Na 0.775 0.250 0.513
Na 0.275 0.250 0.987
Pd 0.736 0.250 0.241
Pd 0.236 0.250 0.259
Pd 0.764 0.750 0.741
Pd 0.264 0.750 0.759
Se 0.905 0.250 0.113
Se 0.558 0.250 0.119
Se 0.236 0.750 0.150
Se 0.736 0.750 0.350
Se 0.058 0.250 0.381
Se 0.405 0.250 0.387
Se 0.595 0.750 0.613
Se 0.942 0.750 0.619
Se 0.264 0.250 0.650
Se 0.764 0.250 0.850
Se 0.442 0.750 0.881
Se 0.095 0.750 0.887
Y 0.985 0.750 0.246
Y 0.485 0.750 0.254
Y 0.515 0.250 0.746
Y 0.015 0.250 0.754

Calculated values
Electronic total energy ... -119.91 eV/cell
Magnetization ... 0.00 μB/f.u.



18.
VASP calculation (GGA-PBE) on a relaxed structure of LiPtAuSe2S.

Cell lengths 6.837, 6.837, 9.813 Å; angles 90.00, 90.00, 147.78 degrees
Element x y z (fractional)
Au 0.343 0.657 0.250
Au 0.657 0.343 0.750
Li 0.680 0.320 0.250
Li 0.320 0.680 0.750
Pt 0.000 0.000 0.000
Pt 0.000 0.000 0.500
S 0.057 0.943 0.250
S 0.943 0.057 0.750
Se 0.373 0.627 0.007
Se 0.373 0.627 0.493
Se 0.627 0.373 0.507
Se 0.627 0.373 0.993

Calculated values
Electronic total energy ... -48.91 eV/cell
Magnetization ... 0.00 μB/f.u.



19.
VASP calculation (GGA-PBE) on a relaxed structure of GdGeNO.

Cell lengths 4.808, 4.808, 4.871 Å; angles 90.00, 90.00, 90.00 degrees
Element x y z (fractional)
Gd 0.750 0.250 0.500
Gd 0.250 0.750 0.500
Ge 0.750 0.750 0.014
Ge 0.250 0.250 0.986
N 0.750 0.750 0.402
N 0.250 0.250 0.598
O 0.750 0.250 0.000
O 0.250 0.750 0.000

Calculated values
Distance to the lowest polymorph of the same formula ... 343 meV/atom
Electronic total energy ... -55.60 eV/cell
Magnetization ... 0.00 μB/f.u.



20.
VASP calculation (GGA-PBE) on a relaxed structure of Er2CdAsP.

Cell lengths 9.091, 9.091, 6.390 Å; angles 90.00, 90.00, 154.86 degrees
Element x y z (fractional)
As 0.417 0.583 0.476
As 0.583 0.417 0.976
Cd 0.387 0.613 0.061
Cd 0.613 0.387 0.561
Er 0.024 0.976 0.261
Er 0.798 0.202 0.448
Er 0.976 0.024 0.761
Er 0.202 0.798 0.948
P 0.189 0.811 0.389
P 0.811 0.189 0.889

Calculated values
Electronic total energy ... -48.71 eV/cell
Magnetization ... 0.01 μB/f.u.